DFT (PBE) results for a relaxed InW crystal.

## Properties
Calculated formation energy: 443.9 meV per atom
Space-group type: No. 129
DFT total energy: -29.6 eV per cell
ΔE to the lowest computed polymorph: 42 meV per atom
M_tot: 0.00 μB per atom

Cell lengths 3.284, 3.284, 7.278 Å; angles 90.00, 90.00, 90.00 degrees
Fractional positions:
1 W 0.750 0.750 0.407
2 In 0.750 0.750 0.841
3 In 0.250 0.250 0.159
4 W 0.250 0.250 0.593


DFT (PBE) results for a relaxed HgIr4Pb crystal.

## Properties
Calculated formation energy: 514.9 meV per atom
Space-group type: No. 216
DFT total energy: -36.4 eV per cell
M_tot: 0.00 μB per atom

Cell lengths 5.372, 5.372, 5.372 Å; angles 60.00, 60.00, 60.00 degrees
Fractional positions:
1 Hg 0.000 0.000 0.000
2 Ir 0.875 0.375 0.375
3 Ir 0.375 0.375 0.375
4 Ir 0.375 0.875 0.375
5 Ir 0.375 0.375 0.875
6 Pb 0.750 0.750 0.750


DFT (PBE) results for a relaxed CrInSe2N crystal.

## Properties
Space-group type: No. 123
DFT total energy: -22.3 eV per cell
ΔE to the lowest computed polymorph: 1065 meV per atom
Formation energy from raw total energies: 1.08 eV/atom
M_tot: 0.76 μB per atom

Cell lengths 5.485, 5.485, 4.215 Å; angles 90.00, 90.00, 90.00 degrees
Each line ends with the local moment (μB).
Fractional positions:
1 Cr 0.500 0.500 0.500  -4.05
2 Se 0.000 0.500 0.000  0.27
3 Se 0.500 0.000 0.000  0.27
4 N 0.000 0.000 0.500  -0.05
5 In 0.000 0.000 0.000  0.00


DFT (PBE) results for a relaxed PrTlCuS2 crystal.

## Properties
Space-group type: No. 13
DFT total energy: -47.3 eV per cell
Formation energy from raw total energies: -0.83 eV/atom
M_tot: 0.00 μB per atom

Cell lengths 6.151, 4.340, 9.260 Å; angles 110.43, 90.00, 90.00 degrees
Fractional positions:
1 Pr 0.552 0.000 0.750
2 Tl 0.128 0.500 0.750
3 Tl 0.872 0.500 0.250
4 Pr 0.448 0.000 0.250
5 S 0.292 0.682 0.455
6 S 0.708 0.682 0.955
7 S 0.292 0.318 0.045
8 Cu 0.000 0.000 0.000
9 S 0.708 0.318 0.545
10 Cu 0.000 0.000 0.500


DFT (PBE) results for a relaxed Rb3Np2USe6 crystal.

## Properties
Space-group type: No. 12
DFT total energy: -75.8 eV per cell
Formation energy from raw total energies: -1.23 eV/atom
M_tot: 0.92 μB per atom

Cell lengths 7.407, 7.407, 8.394 Å; angles 98.46, 98.46, 120.00 degrees
Each line ends with the local moment (μB).
Fractional positions:
1 Se 0.604 0.934 0.803  -0.07
2 U 0.000 0.000 0.000  2.59
3 Se 0.066 0.396 0.197  -0.07
4 Rb 0.167 0.833 0.500  0.00
5 Se 0.396 0.066 0.197  -0.07
6 Se 0.735 0.735 0.197  -0.07
7 Np 0.667 0.333 0.000  4.03
8 Np 0.333 0.667 0.000  4.03
9 Rb 0.500 0.500 0.500  0.00
10 Se 0.934 0.604 0.803  -0.07
11 Se 0.265 0.265 0.803  -0.07
12 Rb 0.833 0.167 0.500  0.00


DFT (PBE) results for a relaxed Sn8Bi crystal.

## Properties
Calculated formation energy: 66.2 meV per atom
Space-group type: No. 139
DFT total energy: -35.3 eV per cell
ΔE to the lowest computed polymorph: 8 meV per atom
M_tot: 0.00 μB per atom

Cell lengths 5.247, 7.446, 7.446 Å; angles 82.87, 69.37, 69.37 degrees
Fractional positions:
1 Sn 0.331 0.337 0.000
2 Sn 0.337 0.663 0.663
3 Sn 0.663 0.337 0.337
4 Bi 0.000 0.000 0.000
5 Sn 0.000 0.663 0.337
6 Sn 0.669 0.663 0.000
7 Sn 0.669 0.000 0.663
8 Sn 0.000 0.337 0.663
9 Sn 0.331 0.000 0.337


DFT (PBE) results for a relaxed Ag2BiAs2 crystal.

## Properties
Calculated formation energy: 175.6 meV per atom
Space-group type: No. 127
DFT total energy: -36.0 eV per cell
ΔE to the lowest computed polymorph: 0 meV per atom
M_tot: 0.00 μB per atom

Cell lengths 8.307, 8.307, 3.157 Å; angles 90.00, 90.00, 90.00 degrees
Fractional positions:
1 Bi 0.000 0.000 0.000
2 As 0.325 0.825 0.000
3 As 0.825 0.675 0.000
4 As 0.675 0.175 0.000
5 Ag 0.623 0.877 0.500
6 Ag 0.377 0.123 0.500
7 As 0.175 0.325 0.000
8 Ag 0.877 0.377 0.500
9 Bi 0.500 0.500 0.000
10 Ag 0.123 0.623 0.500


DFT (PBE) results for a relaxed LiTl3Sb2Te6 crystal.

## Properties
Space-group type: No. 12
DFT total energy: -39.4 eV per cell
Formation energy from raw total energies: -0.27 eV/atom
M_tot: 0.00 μB per atom

Cell lengths 7.688, 7.688, 7.929 Å; angles 99.19, 99.19, 120.03 degrees
Fractional positions:
1 Te 0.747 0.747 0.223
2 Te 0.400 0.074 0.223
3 Sb 0.664 0.336 0.000
4 Li 0.000 0.000 0.000
5 Sb 0.336 0.664 0.000
6 Te 0.253 0.253 0.777
7 Tl 0.500 0.500 0.500
8 Te 0.600 0.926 0.777
9 Tl 0.826 0.174 0.500
10 Te 0.926 0.600 0.777
11 Tl 0.174 0.826 0.500
12 Te 0.074 0.400 0.223


DFT (PBE) results for a relaxed Be2AlZn2Pd5 crystal.

## Properties
Calculated formation energy: -523.8 meV per atom
Space-group type: No. 127
DFT total energy: -89.9 eV per cell
M_tot: 0.00 μB per atom

Cell lengths 3.163, 9.330, 9.330 Å; angles 90.00, 90.00, 90.00 degrees
Fractional positions:
1 Pd 0.500 0.000 0.500
2 Zn 0.000 0.671 0.171
3 Pd 0.500 0.701 0.417
4 Pd 0.500 0.583 0.701
5 Pd 0.500 0.500 0.000
6 Pd 0.500 0.083 0.799
7 Pd 0.500 0.299 0.583
8 Be 0.000 0.626 0.874
9 Al 0.000 0.500 0.500
10 Be 0.000 0.874 0.374
11 Al 0.000 0.000 0.000
12 Zn 0.000 0.829 0.671
13 Zn 0.000 0.171 0.329
14 Be 0.000 0.126 0.626
15 Pd 0.500 0.417 0.299
16 Pd 0.500 0.799 0.917
17 Be 0.000 0.374 0.126
18 Pd 0.500 0.201 0.083
19 Zn 0.000 0.329 0.829
20 Pd 0.500 0.917 0.201


DFT (PBE) results for a relaxed Ta4Be5B2 crystal.

## Properties
Calculated formation energy: -326.4 meV per atom
Space-group type: No. 10
DFT total energy: -83.0 eV per cell
M_tot: 0.00 μB per atom

Cell lengths 3.416, 5.656, 6.413 Å; angles 86.55, 90.00, 90.00 degrees
Fractional positions:
1 Ta 0.500 0.746 0.623
2 B 0.000 0.931 0.382
3 B 0.000 0.069 0.618
4 Be 0.000 0.593 0.363
5 Be 0.000 0.115 0.121
6 Ta 0.500 0.211 0.853
7 Ta 0.500 0.789 0.147
8 Be 0.000 0.500 0.000
9 Be 0.000 0.407 0.637
10 Ta 0.500 0.254 0.377
11 Be 0.000 0.885 0.879


DFT (PBE) results for a relaxed Ti2NbHOs crystal.

## Properties
Space-group type: No. 123
DFT total energy: -41.4 eV per cell
ΔE to the lowest computed polymorph: 31 meV per atom
M_tot: 0.00 μB per atom

Cell lengths 4.379, 4.379, 3.511 Å; angles 90.00, 90.00, 90.00 degrees
Fractional positions:
1 Ti 0.000 0.500 0.000
2 Nb 0.500 0.500 0.500
3 H 0.000 0.000 0.000
4 Ti 0.500 0.000 0.000
5 Os 0.000 0.000 0.500


DFT (PBE) results for a relaxed ThNp2MnN4 crystal.

## Properties
Space-group type: No. 63
DFT total energy: -169.0 eV per cell
Formation energy from raw total energies: -1.09 eV/atom
M_tot: 0.45 μB per atom

Cell lengths 3.386, 5.981, 11.384 Å; angles 90.00, 90.00, 106.44 degrees
Each line ends with the local moment (μB).
Fractional positions:
1 N 0.446 0.892 0.750  -0.02
2 N 0.728 0.455 0.880  -0.10
3 Np 0.369 0.737 0.555  2.83
4 N 0.000 0.000 0.500  -0.16
5 N 0.272 0.545 0.380  -0.10
6 N 0.000 0.000 0.000  -0.16
7 Np 0.369 0.737 0.945  2.83
8 Mn 0.157 0.315 0.250  -1.96
9 Th 0.895 0.789 0.250  0.06
10 Th 0.105 0.211 0.750  0.06
11 Mn 0.843 0.685 0.750  -1.96
12 N 0.272 0.545 0.120  -0.10
13 Np 0.631 0.263 0.055  2.83
14 Np 0.631 0.263 0.445  2.83
15 N 0.728 0.455 0.620  -0.10
16 N 0.554 0.108 0.250  -0.02


DFT (PBE) results for a relaxed CsCuSn3 crystal.

## Properties
Calculated formation energy: 1775.0 meV per atom
Space-group type: No. 221
DFT total energy: -8.1 eV per cell
ΔE to the lowest computed polymorph: 1868 meV per atom
M_tot: 0.00 μB per atom

Cell lengths 6.178, 6.178, 6.178 Å; angles 90.00, 90.00, 90.00 degrees
Fractional positions:
1 Cu 0.500 0.500 0.500
2 Cs 0.000 0.000 0.000
3 Sn 0.000 0.000 0.500
4 Sn 0.500 0.000 0.000
5 Sn 0.000 0.500 0.000


DFT (PBE) results for a relaxed TbPm4 crystal.

## Properties
Calculated formation energy: 637.8 meV per atom
Space-group type: No. 221
DFT total energy: -20.4 eV per cell
ΔE to the lowest computed polymorph: 627 meV per atom
M_tot: 0.07 μB per atom

Cell lengths 5.795, 5.795, 5.795 Å; angles 90.00, 90.00, 90.00 degrees
Each line ends with the local moment (μB).
Fractional positions:
1 Pm 0.500 0.500 0.000  0.05
2 Pm 0.500 0.000 0.500  0.05
3 Pm 0.000 0.500 0.500  0.05
4 Pm 0.000 0.000 0.000  0.02
5 Tb 0.500 0.500 0.500  0.15


DFT (PBE) results for a relaxed GeW crystal.

## Properties
Calculated formation energy: 1593.6 meV per atom
Space-group type: No. 216
DFT total energy: -57.5 eV per cell
ΔE to the lowest computed polymorph: 1334 meV per atom
M_tot: 0.00 μB per atom

Cell lengths 5.705, 5.705, 5.705 Å; angles 90.00, 90.00, 90.00 degrees
Fractional positions:
1 Ge 0.750 0.250 0.750
2 W 0.000 0.000 0.000
3 W 0.000 0.500 0.500
4 W 0.500 0.000 0.500
5 W 0.500 0.500 0.000
6 Ge 0.750 0.750 0.250
7 Ge 0.250 0.750 0.750
8 Ge 0.250 0.250 0.250


DFT (PBE) results for a relaxed Cs2PmPb3Cl12 crystal.

## Properties
Space-group type: No. 166
DFT total energy: -66.5 eV per cell
Formation energy from raw total energies: -1.49 eV/atom
M_tot: 0.00 μB per atom

Cell lengths 10.343, 10.343, 10.343 Å; angles 58.70, 58.70, 58.70 degrees
Fractional positions:
1 Cs 0.596 0.596 0.596
2 Cl 0.663 0.090 0.663
3 Cl 0.319 0.927 0.927
4 Cl 0.337 0.337 0.910
5 Pb 0.500 0.000 0.000
6 Cl 0.073 0.681 0.073
7 Cl 0.910 0.337 0.337
8 Cl 0.337 0.910 0.337
9 Cl 0.663 0.663 0.090
10 Cs 0.404 0.404 0.404
11 Pm 0.000 0.000 0.000
12 Pb 0.000 0.000 0.500
13 Cl 0.073 0.073 0.681
14 Cl 0.927 0.319 0.927
15 Pb 0.000 0.500 0.000
16 Cl 0.681 0.073 0.073
17 Cl 0.090 0.663 0.663
18 Cl 0.927 0.927 0.319


DFT (PBE) results for a relaxed LiSm3Te2Br6 crystal.

## Properties
Space-group type: No. 12
DFT total energy: -51.7 eV per cell
Formation energy from raw total energies: -1.61 eV/atom
M_tot: 0.00 μB per atom

Cell lengths 6.736, 8.580, 8.450 Å; angles 120.51, 87.28, 90.00 degrees
Fractional positions:
1 Sm 0.000 0.500 0.000
2 Br 0.713 0.839 0.677
3 Br 0.256 0.675 0.847
4 Br 0.744 0.325 0.153
5 Sm 0.500 0.000 0.500
6 Te 0.774 0.323 0.646
7 Br 0.287 0.161 0.323
8 Br 0.744 0.827 0.153
9 Br 0.256 0.173 0.847
10 Te 0.226 0.677 0.354
11 Li 0.500 0.000 0.000
12 Sm 0.500 0.500 0.500


DFT (PBE) results for a relaxed Ba2CaW crystal.

## Properties
Calculated formation energy: 996.4 meV per atom
Space-group type: No. 123
DFT total energy: -14.8 eV per cell
ΔE to the lowest computed polymorph: 10 meV per atom
M_tot: 0.58 μB per atom

Cell lengths 3.928, 3.932, 11.004 Å; angles 69.02, 90.00, 90.00 degrees
Each line ends with the local moment (μB).
Fractional positions:
1 Ba 0.000 0.443 0.557  0.03
2 Ba 0.000 0.057 0.943  0.03
3 W 0.500 0.750 0.750  1.94
4 Ca 0.500 0.250 0.250  -0.05


DFT (PBE) results for a relaxed PdS6I crystal.

## Properties
Space-group type: No. 12
DFT total energy: -30.5 eV per cell
Formation energy from raw total energies: 0.13 eV/atom
M_tot: 0.00 μB per atom

Cell lengths 5.416, 9.870, 9.870 Å; angles 36.88, 80.44, 99.56 degrees
Fractional positions:
1 S 0.215 0.570 0.430
2 S 0.608 0.975 0.605
3 S 0.392 0.025 0.395
4 Pd 0.500 0.000 0.000
5 S 0.608 0.395 0.025
6 S 0.785 0.430 0.570
7 S 0.392 0.605 0.975
8 I 0.000 0.000 0.000


DFT (PBE) results for a relaxed BaRhBr2 crystal.

## Properties
Space-group type: No. 123
DFT total energy: -14.4 eV per cell
ΔE to the lowest computed polymorph: 435 meV per atom
Formation energy from raw total energies: -0.45 eV/atom
M_tot: 0.26 μB per atom

Cell lengths 4.045, 4.045, 6.939 Å; angles 90.00, 90.00, 90.00 degrees
Each line ends with the local moment (μB).
Fractional positions:
1 Br 0.000 0.000 0.007  0.01
2 Br 0.000 0.000 0.493  0.01
3 Ba 0.500 0.500 0.750  -0.03
4 Rh 0.500 0.500 0.250  1.01


DFT (PBE) results for a relaxed SmErNp2Sb4 crystal.

## Properties
Space-group type: No. 10
DFT total energy: -56.9 eV per cell
Formation energy from raw total energies: -0.66 eV/atom
M_tot: 0.98 μB per atom

Cell lengths 4.395, 7.607, 7.666 Å; angles 109.34, 90.00, 90.00 degrees
Each line ends with the local moment (μB).
Fractional positions:
1 Er 0.500 0.500 0.000  -0.04
2 Np 0.000 0.500 0.500  3.85
3 Sm 0.000 0.000 0.000  0.00
4 Sb 0.500 0.745 0.748  -0.07
5 Sb 0.500 0.255 0.252  -0.07
6 Sb 0.000 0.746 0.250  -0.07
7 Sb 0.000 0.254 0.750  -0.07
8 Np 0.500 0.000 0.500  3.90


DFT (PBE) results for a relaxed Zr5TlAu4 crystal.

## Properties
Calculated formation energy: -412.9 meV per atom
Space-group type: No. 123
DFT total energy: -62.3 eV per cell
M_tot: 0.00 μB per atom

Cell lengths 3.153, 3.153, 20.581 Å; angles 90.00, 90.00, 90.00 degrees
Fractional positions:
1 Au 0.000 0.000 0.207
2 Au 0.000 0.000 0.597
3 Zr 0.500 0.500 0.695
4 Zr 0.500 0.500 0.110
5 Au 0.000 0.000 0.403
6 Zr 0.500 0.500 0.890
7 Zr 0.500 0.500 0.500
8 Zr 0.500 0.500 0.305
9 Au 0.000 0.000 0.793
10 Tl 0.000 0.000 0.000


DFT (PBE) results for a relaxed ZrSc4Tl crystal.

## Properties
Calculated formation energy: -71.5 meV per atom
Space-group type: No. 123
DFT total energy: -36.7 eV per cell
ΔE to the lowest computed polymorph: 0 meV per atom
M_tot: 0.07 μB per atom

Cell lengths 3.259, 3.259, 13.465 Å; angles 90.02, 90.02, 90.00 degrees
Each line ends with the local moment (μB).
Fractional positions:
1 Sc 0.000 0.000 0.660  0.11
2 Zr 0.000 0.000 0.000  0.01
3 Sc 0.500 0.500 0.835  0.01
4 Tl 0.500 0.500 0.500  0.00
5 Sc 0.500 0.500 0.165  0.01
6 Sc 0.000 0.000 0.340  0.11